Record 1
Here is an optimized crystal structure of AlOF2 from Alexandria via LeMat-Bulk. Energies are from PBE.

extended XYZ file:
```
16
Lattice="5.1820 0.0000 0.0000 0.0000 5.1820 0.0000 0.0000 0.0000 8.7130" Properties=species:S:1:pos:R:3 pbc="T T T"
Al 0.0000 1.2955 3.2674
Al 0.0000 3.8865 5.4456
Al 2.5910 1.2955 1.0891
Al 2.5910 3.8865 7.6239
O 0.0000 1.2955 7.6239
O 0.0000 3.8865 1.0891
O 2.5910 1.2955 5.4456
O 2.5910 3.8865 3.2674
F 0.0000 0.0000 4.3565
F 0.0000 2.5910 4.3565
F 1.2955 1.2955 2.1782
F 1.2955 3.8865 6.5347
F 2.5910 0.0000 0.0000
F 2.5910 2.5910 0.0000
F 3.8865 1.2955 2.1782
F 3.8865 3.8865 6.5347
```

Values from the calculation:
**Energy above the lowest structure with this stoichiometry**: 0.0000 eV per atom
**SG**: I4_1/amd, No. 141
**Total energy**: -4.794 eV per atom
**E_form (uncorrected)**: -1.68 eV/atom


Record 2
Here is an optimized crystal structure of CeErCo from Alexandria via LeMat-Bulk. Energies are from PBE.

extended XYZ file:
```
12
Lattice="6.8582 0.0000 0.0000 0.0000 6.8313 0.0000 -3.0891 0.0000 6.2840" Properties=species:S:1:pos:R:3 pbc="T T T"
Ce 1.4672 1.3507 0.3180
Ce -0.0773 2.0650 3.4600
Ce 3.8463 4.7664 2.8240
Ce 2.3018 5.4806 5.9661
Er -0.9103 4.6570 5.7607
Er 0.6343 5.5900 2.6187
Er 3.1347 1.2414 3.6653
Er 4.6793 2.1743 0.5233
Co 0.8033 0.2139 5.0739
Co 2.3479 3.2018 1.9319
Co 1.4211 3.6295 4.3521
Co 2.9657 6.6174 1.2101
```

Values from the calculation:
**Energy above the lowest structure with this stoichiometry**: 0.0964 eV per atom
**SG**: P2_1/c, No. 14
**Total energy**: -5.957 eV per atom